Below is a relaxed structure of Mn2MoAs, with properties calculated at the PBE-GGA level.

## Properties
Volume (Å³/cell): 52
M_tot (Bohr magnetons per cell): 0.0
Formation energy from the elements (eV per atom): 0.124
Calculated total energy (Ha/atom): -0.306

Cell: 4.105 4.105 3.058 Å, 90.00 90.00 90.00°
Element x y z (fractional)
1 Mn 0.000 0.500 0.000
2 Mn 0.500 0.000 0.000
3 Mo 0.000 0.000 0.500
4 As 0.500 0.500 0.500